# 1
# SCAN TcPdN2, PBEsol geometry
# Density: 7.88 g/cm3
# Size of the total moment: 0.0 μB/f.u.
# Uncorrected formation energy: 0.6 eV/f.u.
# VASP energy: -21.452 eV/atom
data_TcPdN2
_chemical_formula_sum 'Tc4 Pd4 N8'
_cell_length_a 4.659
_cell_length_b 4.659
_cell_length_c 9.030
_cell_angle_alpha 90.00
_cell_angle_beta 90.00
_cell_angle_gamma 90.00
_symmetry_space_group_name_H-M 'I -4 2 d'
_symmetry_Int_Tables_number 122
_symmetry_space_group_name_Hall 'I -4 2bw'
loop_
_atom_site_label
_atom_site_type_symbol
_atom_site_fract_x
_atom_site_fract_y
_atom_site_fract_z
Tc1 Tc 0.000 0.000 0.000
Pd1 Pd 0.000 0.000 0.500
N1 N 0.205 0.250 0.125

---

# 2
# SCAN TePd3N, PBEsol geometry
# Density: 6.46 g/cm3
# Size of the total moment: 2.2 μB/f.u.
# Uncorrected formation energy: 6.7 eV/f.u.
# VASP energy: -27.628 eV/atom
data_TePd3N
_chemical_formula_sum 'Te1 Pd3 N1'
_cell_length_a 4.911
_cell_length_b 4.911
_cell_length_c 4.911
_cell_angle_alpha 90.00
_cell_angle_beta 90.00
_cell_angle_gamma 90.00
_symmetry_space_group_name_H-M 'P m -3 m'
_symmetry_Int_Tables_number 221
_symmetry_space_group_name_Hall '-P 4 2 3'
loop_
_atom_site_label
_atom_site_type_symbol
_atom_site_fract_x
_atom_site_fract_y
_atom_site_fract_z
Te1 Te 0.000 0.000 0.000
Pd1 Pd 0.000 0.000 0.500
N1 N 0.500 0.500 0.500

---

# 3
# SCAN TiTe2PdN, PBEsol geometry
# Density: 6.75 g/cm3
# Size of the total moment: 0.0 μB/f.u.
# Uncorrected formation energy: 0.4 eV/f.u.
# VASP energy: -26.438 eV/atom
data_TiTe2PdN
_chemical_formula_sum 'Ti1 Te2 Pd1 N1'
_cell_length_a 5.361
_cell_length_b 5.361
_cell_length_c 3.624
_cell_angle_alpha 90.00
_cell_angle_beta 90.00
_cell_angle_gamma 90.00
_symmetry_space_group_name_H-M 'P 4/m m m'
_symmetry_Int_Tables_number 123
_symmetry_space_group_name_Hall '-P 4 2'
loop_
_atom_site_label
_atom_site_type_symbol
_atom_site_fract_x
_atom_site_fract_y
_atom_site_fract_z
Ti1 Ti 0.000 0.000 0.000
Te1 Te 0.000 0.500 0.000
Pd1 Pd 0.500 0.500 0.500
N1 N 0.000 0.000 0.500

---

# 4
# SCAN ZnTe2PdN, PBEsol geometry
# Density: 6.74 g/cm3
# Size of the total moment: 0.0 μB/f.u.
# Uncorrected formation energy: 3.3 eV/f.u.
# VASP energy: -25.364 eV/atom
data_ZnTe2PdN
_chemical_formula_sum 'Zn1 Te2 Pd1 N1'
_cell_length_a 5.494
_cell_length_b 5.494
_cell_length_c 3.603
_cell_angle_alpha 90.00
_cell_angle_beta 90.00
_cell_angle_gamma 90.00
_symmetry_space_group_name_H-M 'P 4/m m m'
_symmetry_Int_Tables_number 123
_symmetry_space_group_name_Hall '-P 4 2'
loop_
_atom_site_label
_atom_site_type_symbol
_atom_site_fract_x
_atom_site_fract_y
_atom_site_fract_z
Zn1 Zn 0.000 0.000 0.000
Te1 Te 0.000 0.500 0.500
Pd1 Pd 0.500 0.500 0.500
N1 N 0.500 0.500 0.000

---

# 5
# SCAN ZnTePdN2, PBEsol geometry
# Density: 6.26 g/cm3
# Size of the total moment: 3.7 μB/f.u.
# Uncorrected formation energy: 5.6 eV/f.u.
# VASP energy: -19.296 eV/atom
data_ZnTePdN2
_chemical_formula_sum 'Zn1 Te1 Pd1 N2'
_cell_length_a 3.924
_cell_length_b 3.924
_cell_length_c 5.645
_cell_angle_alpha 90.00
_cell_angle_beta 90.00
_cell_angle_gamma 90.00
_symmetry_space_group_name_H-M 'P 4/m m m'
_symmetry_Int_Tables_number 123
_symmetry_space_group_name_Hall '-P 4 2'
loop_
_atom_site_label
_atom_site_type_symbol
_atom_site_fract_x
_atom_site_fract_y
_atom_site_fract_z
Zn1 Zn 0.000 0.000 0.000
Te1 Te 0.500 0.500 0.000
Pd1 Pd 0.500 0.500 0.500
N1 N 0.000 0.500 0.500

---

# 6
# SCAN TiPd3N, PBEsol geometry
# Density: 6.61 g/cm3
# Size of the total moment: 2.3 μB/f.u.
# Uncorrected formation energy: 7.8 eV/f.u.
# VASP energy: -23.173 eV/atom
data_TiPd3N
_chemical_formula_sum 'Ti1 Pd3 N1'
_cell_length_a 4.574
_cell_length_b 4.574
_cell_length_c 4.574
_cell_angle_alpha 90.00
_cell_angle_beta 90.00
_cell_angle_gamma 90.00
_symmetry_space_group_name_H-M 'P m -3 m'
_symmetry_Int_Tables_number 221
_symmetry_space_group_name_Hall '-P 4 2 3'
loop_
_atom_site_label
_atom_site_type_symbol
_atom_site_fract_x
_atom_site_fract_y
_atom_site_fract_z
Ti1 Ti 0.000 0.000 0.000
Pd1 Pd 0.000 0.000 0.500
N1 N 0.500 0.500 0.500